(1)
The following is a DFT calculation (PBE-GGA) of a relaxed ZnINF2 crystal.

Output
Energy above the most stable polymorph in this dataset (kJ per mole of atoms): 0.0
Total moment (μB per formula unit): 0.33
SG: P4/mmm
E_tot (eV/f.u.): -16.5
E_form (uncorrected) (eV/atom): -0.32

abc: 3.7294 3.7294 6.0345
angles: 90.00 90.00 90.00
Last column: magnetic moment on the atom in μB.
Element x y z (fractional)
I 0.5000 0.5000 0.5000  0.04
Zn 0.0000 0.0000 0.0000  0.00
N 0.0000 0.0000 0.5000  0.18
F 0.0000 0.5000 0.0000  0.00
F 0.5000 0.0000 0.0000  0.00

***

(2)
The following is a DFT calculation (PBE-GGA) of a relaxed Ho2ScCdN crystal.

Output
Total moment (μB per formula unit): 0.00
SG: P4/mmm
E_tot (eV/f.u.): -29.2
E_form (uncorrected) (eV/atom): -0.90

abc: 4.4520 4.8289 4.8289
angles: 90.00 90.00 90.00
Element x y z (fractional)
Ho 0.0000 0.0000 0.5000
Ho 0.0000 0.5000 0.0000
Sc 0.5000 0.0000 0.0000
Cd 0.5000 0.5000 0.5000
N 0.0000 0.0000 0.0000

***

(3)
The following is a DFT calculation (PBE-GGA) of a relaxed NaMg2IrPb crystal.

Output
Energy above the most stable polymorph in this dataset (kJ per mole of atoms): 0.0
Total moment (μB per formula unit): 0.00
SG: P4/mmm
E_tot (eV/f.u.): -17.5

abc: 5.1180 5.1180 5.1981
angles: 90.00 90.00 90.00
Element x y z (fractional)
Pb 0.0000 0.0000 0.5000
Na 0.5000 0.5000 0.5000
Mg 0.0000 0.5000 0.0000
Mg 0.5000 0.0000 0.0000
Ir 0.0000 0.0000 0.0000

***

(4)
The following is a DFT calculation (PBE-GGA) of a relaxed LiEuCu crystal.

Output
Energy above the most stable polymorph in this dataset (kJ per mole of atoms): 0.0
Total moment (μB per formula unit): 7.13
SG: P-6m2
E_tot (eV/f.u.): -16.3

abc: 4.1201 4.4446 4.4446
angles: 120.00 90.00 90.00
Last column: magnetic moment on the atom in μB.
Element x y z (fractional)
Eu 0.6667 0.6667 0.3333  6.85
Cu 0.1667 0.3333 0.6667  -0.02
Li 0.1666 0.0000 0.0000  0.01

***

(5)
The following is a DFT calculation (PBE-GGA) of a relaxed Re2PBr crystal.

Output
Energy above the most stable polymorph in this dataset (kJ per mole of atoms): 3.4
Total moment (μB per formula unit): 0.00
SG: Cm
E_tot (eV/f.u.): -30.6
E_form (uncorrected) (eV/atom): 0.33

abc: 4.2618 4.2618 7.4703
angles: 93.54 93.54 47.25
Element x y z (fractional)
Br 0.6160 0.6160 0.5426
P 0.2658 0.2658 0.0944
Re 0.9706 0.9706 0.0010
Re 0.6475 0.6475 0.8620

***

(6)
The following is a DFT calculation (PBE-GGA) of a relaxed LiPtRh2 crystal.

Output
Energy above the most stable polymorph in this dataset (kJ per mole of atoms): 0.0
Total moment (μB per formula unit): 0.00
SG: Imma
E_tot (eV/f.u.): -23.7

abc: 5.3914 5.4246 5.4246
angles: 59.35 60.20 60.20
Element x y z (fractional)
Li 0.0000 0.5000 0.0000
Li 0.5000 0.5000 0.0000
Pt 0.0000 0.0000 0.0000
Pt 0.5000 0.5000 0.5000
Rh 0.0000 0.5000 0.5000
Rh 0.5000 0.0000 0.0000
Rh 0.0000 0.0000 0.5000
Rh 0.5000 0.0000 0.5000

***

(7)
The following is a DFT calculation (PBE-GGA) of a relaxed Hg2PtW crystal.

Output
Energy above the most stable polymorph in this dataset (kJ per mole of atoms): 49.8
Total moment (μB per formula unit): 1.48
SG: F-43m
E_tot (eV/f.u.): -16.7

abc: 4.7089 4.7089 4.7089
angles: 60.00 60.00 60.00
Last column: magnetic moment on the atom in μB.
Element x y z (fractional)
Hg 0.0000 0.0000 0.0000  0.03
Hg 0.7500 0.7500 0.7500  0.01
Pt 0.5000 0.5000 0.5000  0.08
W 0.2500 0.2500 0.2500  1.12

***

(8)
The following is a DFT calculation (PBE-GGA) of a relaxed Pu4ZnRu3 crystal.

Output
Total moment (μB per formula unit): 18.87
SG: P4/mmm
E_tot (eV/f.u.): -85.8

abc: 5.2335 5.2335 5.9850
angles: 90.00 90.00 90.00
Last column: magnetic moment on the atom in μB.
Element x y z (fractional)
Pu 0.0000 0.5000 0.2419  5.08
Pu 0.0000 0.5000 0.7581  5.08
Pu 0.5000 0.0000 0.7581  5.08
Pu 0.5000 0.0000 0.2419  5.08
Zn 0.0000 0.0000 0.5000  0.07
Ru 0.0000 0.0000 0.0000  -0.88
Ru 0.5000 0.5000 0.2546  -0.70
Ru 0.5000 0.5000 0.7454  -0.70

***

(9)
The following is a DFT calculation (PBE-GGA) of a relaxed AlCdSe crystal.

Output
Energy above the most stable polymorph in this dataset (kJ per mole of atoms): 20.9
Total moment (μB per formula unit): 0.00
SG: Fmm2
E_tot (eV/f.u.): -8.4
E_form (uncorrected) (eV/atom): -0.09

abc: 6.7663 6.2743 3.6777
angles: 81.14 66.38 32.48
Element x y z (fractional)
Al 0.9850 0.9850 0.0150
Se 0.3527 0.3527 0.6473
Cd 0.6623 0.6623 0.3377

***

(10)
The following is a DFT calculation (PBE-GGA) of a relaxed Y2Cd crystal.

Output
Total moment (μB per formula unit): 0.00
SG: Cmcm
E_tot (eV/f.u.): -14.3

abc: 8.5373 8.5373 5.5759
angles: 90.00 90.00 154.30
Element x y z (fractional)
Y 0.3787 0.6213 0.7500
Y 0.0614 0.9386 0.7500
Y 0.9386 0.0614 0.2500
Y 0.6213 0.3787 0.2500
Cd 0.7215 0.2785 0.7500
Cd 0.2785 0.7215 0.2500

***

(11)
The following is a DFT calculation (PBE-GGA) of a relaxed SrReAg2 crystal.

Output
Energy above the most stable polymorph in this dataset (kJ per mole of atoms): 6.4
Total moment (μB per formula unit): 0.00
SG: Pmm2
E_tot (eV/f.u.): -16.9

abc: 2.8240 4.5809 6.3867
angles: 90.00 90.00 90.00
Element x y z (fractional)
Ag 0.0000 0.0000 0.0283
Ag 0.5000 0.5000 0.2679
Re 0.0000 0.0000 0.4566
Sr 0.5000 0.5000 0.7471

***

(12)
The following is a DFT calculation (PBE-GGA) of a relaxed AlVCd2 crystal.

Output
Total moment (μB per formula unit): 2.20
SG: I-42d
E_tot (eV/f.u.): -12.6

abc: 7.6559 7.6559 6.0905
angles: 51.06 51.06 90.00
Last column: magnetic moment on the atom in μB.
Element x y z (fractional)
V 0.0000 0.0000 0.0000  2.08
V 0.7500 0.2500 0.5000  2.08
Al 0.5000 0.5000 0.0000  -0.04
Al 0.2500 0.7500 0.5000  -0.04
Cd 0.6144 0.1250 0.2500  -0.03
Cd 0.1356 0.6250 0.2500  -0.03
Cd 0.3750 0.3856 0.7500  -0.03
Cd 0.8750 0.8644 0.7500  -0.03

***

(13)
The following is a DFT calculation (PBE-GGA) of a relaxed Rb3Hg2As2 crystal.

Output
Total moment (μB per formula unit): 0.00
SG: Immm
E_tot (eV/f.u.): -15.1

abc: 5.4626 4.6307 10.9008
angles: 102.26 104.51 90.00
Element x y z (fractional)
Rb 0.0000 0.0000 0.0000
Rb 0.1901 0.6901 0.3803
Rb 0.8099 0.3099 0.6197
Hg 0.5720 0.5720 0.1439
Hg 0.4280 0.4280 0.8561
As 0.6346 0.1346 0.2692
As 0.3654 0.8654 0.7308

***

(14)
The following is a DFT calculation (PBE-GGA) of a relaxed LuNpBi2 crystal.

Output
Energy above the most stable polymorph in this dataset (kJ per mole of atoms): 14.6
Total moment (μB per formula unit): 4.75
SG: P4/mmm
E_tot (eV/f.u.): -25.8

abc: 4.0682 5.2748 5.2748
angles: 90.00 90.00 90.00
Last column: magnetic moment on the atom in μB.
Element x y z (fractional)
Np 0.5000 0.0000 0.0000  4.11
Lu 0.5000 0.5000 0.5000  0.27
Bi 0.0000 0.0000 0.5000  -0.08
Bi 0.0000 0.5000 0.0000  -0.08

***

(15)
The following is a DFT calculation (PBE-GGA) of a relaxed Ti3IrSe8 crystal.

Output
Total moment (μB per formula unit): 0.00
SG: C2/m
E_tot (eV/f.u.): -71.0
E_form (uncorrected) (eV/atom): -0.89

abc: 6.9361 6.9476 8.0478
angles: 116.04 90.00 119.95
Element x y z (fractional)
Ti 0.5000 0.0000 0.0000
Ti 0.5000 0.5000 0.0000
Ti 0.0000 0.5000 0.0000
Ir 0.0000 0.0000 0.0000
Se 0.2560 0.5120 0.7714
Se 0.7440 0.4880 0.2286
Se 0.2536 0.0109 0.7717
Se 0.7572 0.0109 0.7717
Se 0.7576 0.5151 0.7718
Se 0.2424 0.4849 0.2282
Se 0.2428 0.9891 0.2283
Se 0.7464 0.9891 0.2283

***

(16)
The following is a DFT calculation (PBE-GGA) of a relaxed NaBiOs2O crystal.

Output
Total moment (μB per formula unit): 5.08
SG: P4/mmm
E_tot (eV/f.u.): -18.1
E_form (uncorrected) (eV/atom): 2.90

abc: 4.6322 5.2426 4.6322
angles: 90.00 90.00 90.00
Last column: magnetic moment on the atom in μB.
Element x y z (fractional)
Na 0.0000 0.0000 0.0000  0.02
Os 0.0000 0.0000 0.5000  2.01
Os 0.5000 0.0000 0.0000  1.99
Bi 0.0000 0.5000 0.0000  -0.16
O 0.5000 0.5000 0.5000  0.74

***

(17)
The following is a DFT calculation (PBE-GGA) of a relaxed NaTl2I crystal.

Output
Energy above the most stable polymorph in this dataset (kJ per mole of atoms): 0.0
Total moment (μB per formula unit): 0.00
SG: I-42d
E_tot (eV/f.u.): -8.6
E_form (uncorrected) (eV/atom): -0.24

abc: 9.4433 9.4433 7.4288
angles: 50.54 50.54 90.00
Element x y z (fractional)
I 0.0000 0.0000 0.0000
I 0.7500 0.2500 0.5000
Na 0.5000 0.5000 0.0000
Na 0.2500 0.7500 0.5000
Tl 0.6171 0.1250 0.2500
Tl 0.1329 0.6250 0.2500
Tl 0.3750 0.3829 0.7500
Tl 0.8750 0.8671 0.7500

***

(18)
The following is a DFT calculation (PBE-GGA) of a relaxed Sc3Nb2N4 crystal.

Output
Total moment (μB per formula unit): 0.00
SG: C2/m
E_tot (eV/f.u.): -85.7
E_form (uncorrected) (eV/atom): -1.48

abc: 3.1609 5.5300 6.9659
angles: 76.08 76.89 73.39
Element x y z (fractional)
Sc 0.0000 0.0000 0.0000
Sc 0.2017 0.3964 0.2002
Sc 0.7983 0.6036 0.7998
Nb 0.6050 0.1803 0.6098
Nb 0.3950 0.8197 0.3902
N 0.7961 0.1075 0.3003
N 0.2039 0.8925 0.6997
N 0.4033 0.2992 0.8942
N 0.5967 0.7008 0.1058

***

(19)
The following is a DFT calculation (PBE-GGA) of a relaxed Na2AcScS4 crystal.

Output
Total moment (μB per formula unit): 0.00
SG: P2/m
E_tot (eV/f.u.): -43.3
E_form (uncorrected) (eV/atom): -1.71

abc: 4.0773 7.0907 7.0990
angles: 109.58 90.00 90.00
Element x y z (fractional)
Na 0.5000 0.0000 0.5000
Na 0.0000 0.5000 0.5000
Ac 0.5000 0.5000 0.0000
Sc 0.0000 0.0000 0.0000
S 0.5000 0.2165 0.2209
S 0.5000 0.7835 0.7791
S 0.0000 0.2223 0.7679
S 0.0000 0.7777 0.2321

***

(20)
The following is a DFT calculation (PBE-GGA) of a relaxed VTcAg3 crystal.

Output
Energy above the most stable polymorph in this dataset (kJ per mole of atoms): 0.0
Total moment (μB per formula unit): 6.44
SG: Pm-3m
E_tot (eV/f.u.): -19.2

abc: 4.8686 4.8686 4.8686
angles: 90.00 90.00 90.00
Last column: magnetic moment on the atom in μB.
Element x y z (fractional)
Tc 0.5000 0.5000 0.5000  3.38
Ag 0.0000 0.5000 0.0000  0.08
Ag 0.0000 0.0000 0.5000  0.08
Ag 0.5000 0.0000 0.0000  0.08
V 0.0000 0.0000 0.0000  2.25